VASP calculation (SCAN) on TiCuIN2 at its PBEsol-relaxed geometry.

## Properties
Volume   15.3 Å³ per atom
E_form (uncorrected)   1335 meV/atom
SG   No. 123
DOS(E_F)   0.8123 states/eV per atom

Lattice parameters (Å, degrees): 3.8578 3.8578 5.1281 90.00 90.00 90.00
With the nearest neighbours (Å) after each atom.
Fractional coordinates of all 5 atoms:
Ti (0.0000, 0.0000, 0.0000)  4 I 2.73
Cu (0.5000, 0.5000, 0.5000)  4 N 1.93
I (0.5000, 0.5000, 0.0000)  2 Cu 2.56, 4 Ti 2.73
N (0.0000, 0.5000, 0.5000)  2 Cu 1.93
N (0.5000, 0.0000, 0.5000)  2 Cu 1.93